Entry 1:
First-principles (PBE-GGA) data for a relaxed structure of TcMoBr4, as listed in Alexandria via LeMat-Bulk.

Calculated values
Fermi-level density of states in states/eV/f.u.: 8.0
E_form (uncorrected) in eV per formula unit: 10.0
Total DFT energy (no corrections) in eV per atom: -2.975
Symmetry: No. 216

Lattice parameters (Å, degrees): 6.248 6.248 6.248 60.00 60.00 60.00
Fractional positions:
Tc: 0.000 0.000 0.000
Mo: 0.250 0.250 0.250
Br: 0.125 0.625 0.625
Br: 0.625 0.125 0.625
Br: 0.625 0.625 0.125
Br: 0.625 0.625 0.625

=====

Entry 2:
First-principles (PBE-GGA) data for a relaxed structure of Th5Te4Pt, as listed in Alexandria via LeMat-Bulk.

Calculated values
Fermi-level density of states in states/eV/f.u.: 7.8
E_form (uncorrected) in eV per formula unit: -10.9
Total DFT energy (no corrections) in eV per atom: -6.658
Symmetry: No. 2

Lattice parameters (Å, degrees): 6.261 7.687 7.689 80.50 66.03 66.05
Fractional positions:
Th: 0.000 0.000 0.000
Th: 0.230 0.374 0.167
Th: 0.397 0.833 0.374
Th: 0.603 0.167 0.626
Th: 0.770 0.626 0.833
Te: 0.084 0.228 0.602
Te: 0.313 0.602 0.772
Te: 0.687 0.398 0.228
Te: 0.916 0.772 0.398
Pt: 0.500 0.000 0.000

=====

Entry 3:
First-principles (PBE-GGA) data for a relaxed structure of LiDyEr, as listed in Alexandria via LeMat-Bulk.

Calculated values
Fermi-level density of states in states/eV/f.u.: 4.6
Total DFT energy (no corrections) in eV per atom: -3.598
Symmetry: No. 107
Energy relative to the lowest polymorph listed for this composition in meV per atom: 0

Lattice parameters (Å, degrees): 6.748 6.748 6.748 148.90 148.90 44.55
Fractional positions:
Li: 0.000 0.000 0.000
Dy: 0.343 0.343 0.000
Er: 0.654 0.654 0.000

=====

Entry 4:
First-principles (PBE-GGA) data for a relaxed structure of Sr2SiW, as listed in Alexandria via LeMat-Bulk.

Calculated values
Fermi-level density of states in states/eV/f.u.: 3.5
E_form (uncorrected) in eV per formula unit: 3.8
Total DFT energy (no corrections) in eV per atom: -4.494
Symmetry: No. 119

Lattice parameters (Å, degrees): 5.425 5.425 5.425 128.42 128.42 75.95
Fractional positions:
Sr: 0.000 0.000 0.000
Sr: 0.750 0.250 0.500
Si: 0.500 0.500 0.000
W: 0.250 0.750 0.500

=====

Entry 5:
First-principles (PBE-GGA) data for a relaxed structure of Be3FeAu, as listed in Alexandria via LeMat-Bulk.

Calculated values
Fermi-level density of states in states/eV/f.u.: 3.7
Total DFT energy (no corrections) in eV per atom: -3.880
Symmetry: No. 221
Energy relative to the lowest polymorph listed for this composition in meV per atom: 0

Lattice parameters (Å, degrees): 3.940 3.940 3.940 90.00 90.00 90.00
Fractional positions:
Be: 0.000 0.000 0.500
Be: 0.000 0.500 0.000
Be: 0.500 0.000 0.000
Fe: 0.000 0.000 0.000
Au: 0.500 0.500 0.500

=====

Entry 6:
First-principles (PBE-GGA) data for a relaxed structure of Mg2ScBiPt, as listed in Alexandria via LeMat-Bulk.

Calculated values
Fermi-level density of states in states/eV/f.u.: 2.7
Total DFT energy (no corrections) in eV per atom: -3.960
Symmetry: No. 123

Lattice parameters (Å, degrees): 4.867 4.867 5.628 90.00 90.00 90.00
Fractional positions:
Mg: 0.000 0.500 0.000
Mg: 0.500 0.000 0.000
Sc: 0.000 0.000 0.500
Bi: 0.500 0.500 0.500
Pt: 0.500 0.500 0.000

=====

Entry 7:
First-principles (PBE-GGA) data for a relaxed structure of SmAlZn2Pt4, as listed in Alexandria via LeMat-Bulk.

Calculated values
Fermi-level density of states in states/eV/f.u.: 4.6
Total DFT energy (no corrections) in eV per atom: -5.224
Symmetry: No. 166

Lattice parameters (Å, degrees): 8.758 8.758 8.758 28.83 28.83 28.83
Fractional positions:
Sm: 0.000 0.000 0.000
Al: 0.500 0.500 0.500
Zn: 0.245 0.245 0.245
Zn: 0.755 0.755 0.755
Pt: 0.133 0.133 0.133
Pt: 0.402 0.402 0.402
Pt: 0.598 0.598 0.598
Pt: 0.867 0.867 0.867

=====

Entry 8:
First-principles (PBE-GGA) data for a relaxed structure of NbAs3Pb, as listed in Alexandria via LeMat-Bulk.

Calculated values
Fermi-level density of states in states/eV/f.u.: 3.2
Total DFT energy (no corrections) in eV per atom: -5.398
Symmetry: No. 221
Energy relative to the lowest polymorph listed for this composition in meV per atom: 0

Lattice parameters (Å, degrees): 5.058 5.058 5.058 90.00 90.00 90.00
Fractional positions:
Nb: 0.000 0.000 0.000
As: 0.000 0.000 0.500
As: 0.000 0.500 0.000
As: 0.500 0.000 0.000
Pb: 0.500 0.500 0.500

=====

Entry 9:
First-principles (PBE-GGA) data for a relaxed structure of GePd4S, as listed in Alexandria via LeMat-Bulk.

Calculated values
Fermi-level density of states in states/eV/f.u.: 2.2
E_form (uncorrected) in eV per formula unit: -1.7
Total DFT energy (no corrections) in eV per atom: -5.201
Symmetry: No. 12

Lattice parameters (Å, degrees): 8.138 8.138 7.704 112.36 112.36 26.39
Fractional positions:
Ge: 0.246 0.246 0.154
Ge: 0.754 0.754 0.846
Pd: 0.107 0.107 0.261
Pd: 0.245 0.245 0.629
Pd: 0.366 0.366 0.015
Pd: 0.404 0.404 0.403
Pd: 0.596 0.596 0.597
Pd: 0.634 0.634 0.985
Pd: 0.755 0.755 0.371
Pd: 0.893 0.893 0.739
S: 0.483 0.483 0.736
S: 0.517 0.517 0.264

=====

Entry 10:
First-principles (PBE-GGA) data for a relaxed structure of Si3BSe, as listed in Alexandria via LeMat-Bulk.

Calculated values
Fermi-level density of states in states/eV/f.u.: 3.2
E_form (uncorrected) in eV per formula unit: 9.8
Total DFT energy (no corrections) in eV per atom: -3.335
Symmetry: No. 221
Energy relative to the lowest polymorph listed for this composition in meV per atom: 1242

Lattice parameters (Å, degrees): 4.805 4.805 4.805 90.00 90.00 90.00
Fractional positions:
Si: 0.000 0.000 0.500
Si: 0.000 0.500 0.000
Si: 0.500 0.000 0.000
B: 0.500 0.500 0.500
Se: 0.000 0.000 0.000

=====

Entry 11:
First-principles (PBE-GGA) data for a relaxed structure of Dy2TlSn, as listed in Alexandria via LeMat-Bulk.

Calculated values
Fermi-level density of states in states/eV/f.u.: 2.9
Total DFT energy (no corrections) in eV per atom: -4.386
Symmetry: No. 123

Lattice parameters (Å, degrees): 4.999 4.999 4.305 90.00 90.00 90.00
Fractional positions:
Dy: 0.000 0.500 0.000
Dy: 0.500 0.000 0.000
Tl: 0.000 0.000 0.500
Sn: 0.500 0.500 0.500

=====

Entry 12:
First-principles (PBE-GGA) data for a relaxed structure of PtSO4, as listed in Alexandria via LeMat-Bulk.

Calculated values
Fermi-level density of states in states/eV/f.u.: 0.2
E_form (uncorrected) in eV per formula unit: -3.6
Total DFT energy (no corrections) in eV per atom: -5.597
Symmetry: No. 152

Lattice parameters (Å, degrees): 4.863 4.863 12.748 90.00 90.00 120.00
Fractional positions:
Pt: 0.000 0.568 0.167
Pt: 0.432 0.432 0.500
Pt: 0.568 0.000 0.833
S: 0.000 0.531 0.667
S: 0.469 0.469 0.000
S: 0.531 0.000 0.333
O: 0.071 0.735 0.761
O: 0.211 0.711 0.313
O: 0.265 0.336 0.095
O: 0.289 0.500 0.647
O: 0.336 0.265 0.905
O: 0.500 0.289 0.353
O: 0.500 0.789 0.980
O: 0.664 0.929 0.428
O: 0.711 0.211 0.687
O: 0.735 0.071 0.239
O: 0.789 0.500 0.020
O: 0.929 0.664 0.572

=====

> Which of these has the lowest total DFT energy (no corrections)?

Th5Te4Pt